[1]
SCAN Ta2PbCl, PBEsol geometry; formation energy without anion corrections = 0.36 eV/atom; N(E_F) = 2.658 states/eV/f.u.; mass density = 12.448 g cm⁻³; crystal system = monoclinic; excess energy over the best structure of this formula in the dataset = 0.000 eV per atom; raw total energy = -53.87 eV/atom; SG = No. 8
1.0
3.231 0.000 0.000
-1.615 4.613 -0.042
0.000 -1.140 5.422
Pb Cl Ta
1 1 2
Cartesian
1.615 2.002 1.146 Pb
1.615 -0.534 3.395 Cl
1.615 3.348 5.105 Ta
0.000 1.560 3.826 Ta

***

[2]
SCAN La4H9, PBEsol geometry; N(E_F) = 2.785 states/eV/f.u.; mass density = 5.510 g cm⁻³; crystal system = tetragonal; raw total energy = -16.40 eV/atom; SG = No. 139
1.0
5.517 0.000 0.000
0.000 5.517 0.000
-2.758 -2.758 5.591
H La
9 4
Cartesian
4.092 4.092 1.415 H
1.425 1.425 1.415 H
4.092 1.425 1.415 H
1.425 4.092 1.415 H
-1.334 -1.334 4.177 H
1.334 1.334 4.177 H
-1.334 1.334 4.177 H
1.334 -1.334 4.177 H
0.000 0.000 0.000 H
0.000 0.000 2.746 La
2.758 2.758 2.845 La
2.758 0.000 0.000 La
0.000 2.758 0.000 La